Below is ZrCuGe2 at its PBEsol-relaxed geometry, with properties calculated at the SCAN level.

Unit cell a=4.5422 b=4.5422 c=4.5422 alpha=60.00 beta=60.00 gamma=60.00
With the nearest neighbours (Å) after each atom.
Fractional positions:
Zr: 0.0000 0.0000 0.0000  8 Ge 2.78
Cu: 0.5000 0.5000 0.5000  8 Ge 2.78
Ge: 0.2500 0.2500 0.2500  4 Cu 2.78, 4 Zr 2.78
Ge: 0.7500 0.7500 0.7500  4 Zr 2.78, 4 Cu 2.78

Computed properties:
For the energy of formation from the pure elements, the calculation gives -24.8 meV per atom.

***

Below is ZnRe2Au at its PBEsol-relaxed geometry, with properties calculated at the SCAN level.

Unit cell a=2.7129 b=2.7129 c=9.1623 alpha=90.00 beta=90.00 gamma=115.58
With the nearest neighbours (Å) after each atom.
Fractional positions:
Zn: 0.0000 0.0000 0.0000  2 Re 2.68, 2 Au 2.68, 6 Zn 2.71-2.89
Re: 0.0000 0.0000 0.5202  8 Re 2.58-2.89
Re: 0.5000 0.5000 0.7540  8 Re 2.58-2.89, 2 Zn 2.68
Au: 0.5000 0.5000 0.2463  2 Zn 2.68, 6 Au 2.71-2.89, 2 Re 2.90

Computed properties:
For the energy of formation from the pure elements, the calculation gives 223.7 meV per atom.

***

Below is CsSi3HO7 at its PBEsol-relaxed geometry, with properties calculated at the SCAN level.

Unit cell a=4.9505 b=10.4583 c=14.0623 alpha=90.00 beta=90.00 gamma=90.00
With the nearest neighbours (Å) after each atom.
Fractional positions:
Cs: 0.0384 0.0916 0.2569  5 O 3.01-3.23, 1 H 3.10
Cs: 0.4616 0.9084 0.7569  5 O 3.01-3.23, 1 H 3.10
Cs: 0.5384 0.4084 0.7431  5 O 3.01-3.23, 1 H 3.10
Cs: 0.9616 0.5916 0.2431  5 O 3.01-3.23, 1 H 3.10
Si: 0.0517 0.9170 0.5082  4 O 1.62-1.63
Si: 0.0558 0.6501 0.6088  4 O 1.59-1.65
Si: 0.1194 0.2043 0.5573  4 O 1.60-1.65
Si: 0.3806 0.7957 0.0573  4 O 1.60-1.65
Si: 0.4442 0.3499 0.1088  4 O 1.59-1.65
Si: 0.4483 0.0830 0.0082  4 O 1.62-1.63
Si: 0.5517 0.5830 0.4918  4 O 1.62-1.63
Si: 0.5558 0.8499 0.3912  4 O 1.59-1.65
Si: 0.6194 0.2957 0.4427  4 O 1.60-1.65
Si: 0.8806 0.7043 0.9427  4 O 1.60-1.65
Si: 0.9442 0.1501 0.8912  4 O 1.59-1.65
Si: 0.9483 0.4170 0.9918  4 O 1.62-1.63
H: 0.0452 0.6904 0.7835  1 O 1.14
H: 0.4548 0.3096 0.2835  1 O 1.14
H: 0.5452 0.8096 0.2165  1 O 1.14
H: 0.9548 0.1904 0.7165  1 O 1.14
O: 0.0297 0.2589 0.6591  1 H 1.14
O: 0.0799 0.7413 0.0314  2 Si 1.64
O: 0.0863 0.8047 0.5873  2 Si 1.63-1.65
O: 0.1333 0.6192 0.7158  1 H 1.28
O: 0.1383 0.0473 0.5617  2 Si 1.62-1.65
O: 0.2421 0.5740 0.5298  2 Si 1.63-1.65
O: 0.2415 0.8897 0.4157  2 Si 1.63-1.65
O: 0.2585 0.1103 0.9157  2 Si 1.63-1.65
O: 0.2579 0.4260 0.0298  2 Si 1.63-1.65
O: 0.3617 0.9527 0.0617  2 Si 1.62-1.65
O: 0.3667 0.3808 0.2158  1 H 1.28
O: 0.4137 0.1953 0.0873  2 Si 1.63-1.65
O: 0.4201 0.2587 0.5314  2 Si 1.64
O: 0.4703 0.7411 0.1591  1 H 1.14
O: 0.5297 0.2411 0.3409  1 H 1.14
O: 0.5799 0.7587 0.9686  2 Si 1.64
O: 0.5863 0.6953 0.4127  2 Si 1.63-1.65
O: 0.6333 0.8808 0.2842  1 H 1.28
O: 0.6383 0.4527 0.4383  2 Si 1.62-1.65
O: 0.7415 0.6103 0.5843  2 Si 1.63-1.65
O: 0.7421 0.9260 0.4702  2 Si 1.63-1.65
O: 0.7579 0.0740 0.9702  2 Si 1.63-1.65
O: 0.7585 0.3897 0.0843  2 Si 1.63-1.65
O: 0.8617 0.5473 0.9383  2 Si 1.62-1.65
O: 0.8667 0.1192 0.7842  1 H 1.28
O: 0.9137 0.3047 0.9127  2 Si 1.63-1.65
O: 0.9201 0.2413 0.4686  2 Si 1.64
O: 0.9703 0.7589 0.8409  1 H 1.14

Computed properties:
Its raw total energy is -12.295 eV per atom.

***

Below is Pr5P12Ru19 at its PBEsol-relaxed geometry, with properties calculated at the SCAN level.

Unit cell a=12.5104 b=12.5104 c=3.9614 alpha=90.00 beta=90.00 gamma=120.00
With the nearest neighbours (Å) after each atom.
Fractional positions:
Pr: 0.0000 0.1846 0.0000  10 Ru 3.04-3.33, 6 P 3.05-3.10
Pr: 0.1846 0.0000 0.0000  10 Ru 3.04-3.33, 6 P 3.05-3.10
Pr: 0.3333 0.6667 0.5000  6 P 2.98, 9 Ru 3.12-3.14
Pr: 0.6667 0.3333 0.5000  6 P 2.98, 9 Ru 3.12-3.14
Pr: 0.8154 0.8154 0.0000  10 Ru 3.04-3.33, 6 P 3.05-3.10
P: 0.0000 0.3756 0.5000  7 Ru 2.26-2.48
P: 0.0000 0.8128 0.5000  5 Ru 2.33-2.35
P: 0.1702 0.6941 0.0000  5 Ru 2.27-2.38
P: 0.1872 0.1872 0.5000  5 Ru 2.33-2.35
P: 0.3059 0.4761 0.0000  5 Ru 2.27-2.38
P: 0.3756 0.0000 0.5000  7 Ru 2.26-2.48
P: 0.4761 0.3059 0.0000  5 Ru 2.27-2.38
P: 0.5239 0.8298 0.0000  5 Ru 2.27-2.38
P: 0.6244 0.6244 0.5000  7 Ru 2.26-2.48
P: 0.6941 0.1702 0.0000  5 Ru 2.27-2.38
P: 0.8128 0.0000 0.5000  5 Ru 2.33-2.35
P: 0.8298 0.5239 0.0000  5 Ru 2.27-2.38
Ru: 0.0000 0.0000 0.5000  3 P 2.34
Ru: 0.0000 0.5560 0.5000  1 P 2.26
Ru: 0.0000 0.7152 0.0000  4 P 2.27-2.33
Ru: 0.1235 0.4904 0.0000  4 P 2.31-2.48
Ru: 0.1843 0.8059 0.5000  4 P 2.35-2.41
Ru: 0.1941 0.3784 0.5000  4 P 2.35-2.41
Ru: 0.2848 0.2848 0.0000  4 P 2.27-2.33
Ru: 0.3668 0.8765 0.0000  4 P 2.31-2.48
Ru: 0.3784 0.1941 0.5000  4 P 2.35-2.41
Ru: 0.4440 0.4440 0.5000  1 P 2.26
Ru: 0.4904 0.1235 0.0000  4 P 2.31-2.48
Ru: 0.5096 0.6332 0.0000  4 P 2.31-2.48
Ru: 0.5560 0.0000 0.5000  1 P 2.26
Ru: 0.6216 0.8157 0.5000  4 P 2.35-2.41
Ru: 0.6332 0.5096 0.0000  4 P 2.31-2.48
Ru: 0.7152 0.0000 0.0000  4 P 2.27-2.33
Ru: 0.8059 0.1843 0.5000  4 P 2.35-2.41
Ru: 0.8157 0.6216 0.5000  4 P 2.35-2.41
Ru: 0.8765 0.3668 0.0000  4 P 2.31-2.48

Computed properties:
For the energy of formation from the pure elements, the calculation gives -893.1 meV per atom.

***

Below is TeRhPbN2 at its PBEsol-relaxed geometry, with properties calculated at the SCAN level.

Unit cell a=4.1491 b=4.1491 c=6.1945 alpha=90.00 beta=90.00 gamma=90.00
With the nearest neighbours (Å) after each atom.
Fractional positions:
Te: 0.0000 0.0000 0.0000  4 Rh 2.93, 2 Pb 3.10
Rh: 0.5000 0.5000 0.0000  4 Te 2.93
Pb: 0.0000 0.0000 0.5000  4 N 2.07
N: 0.0000 0.5000 0.5000  2 Pb 2.07
N: 0.5000 0.0000 0.5000  2 Pb 2.07

Computed properties:
The value obtained for the formation energy (no corrections) is 1884 meV per atom.

***

Below is TaCdRe at its PBEsol-relaxed geometry, with properties calculated at the SCAN level.

Unit cell a=5.2172 b=5.2172 c=5.2172 alpha=142.72 beta=142.72 gamma=53.75
With the nearest neighbours (Å) after each atom.
Fractional positions:
Ta: 0.0000 0.0000 0.0000  4 Re 2.65, 5 Cd 2.91-2.94
Cd: 0.6877 0.6877 0.0000  5 Re 2.91-2.96, 5 Ta 2.91-2.94
Re: 0.3702 0.3702 0.0000  4 Ta 2.65, 5 Cd 2.91-2.96

Computed properties:
For the energy of formation from the pure elements, the calculation gives 141.0 meV per atom.

***

Below is CaAs2Ir at its PBEsol-relaxed geometry, with properties calculated at the SCAN level.

Unit cell a=3.1759 b=3.1989 c=7.1017 alpha=90.00 beta=90.00 gamma=90.00
With the nearest neighbours (Å) after each atom.
Fractional positions:
Ca: 0.0000 0.0000 0.0000  8 As 3.08, 4 Ca 3.18-3.20
As: 0.5000 0.5000 0.2947  4 Ir 2.68, 1 As 2.92
As: 0.5000 0.5000 0.7053  4 Ir 2.68, 1 As 2.92
Ir: 0.0000 0.0000 0.5000  8 As 2.68

Computed properties:
For the energy of formation from the pure elements, the calculation gives -226.9 meV per atom.

***

Below is CaReTe2 at its PBEsol-relaxed geometry, with properties calculated at the SCAN level.

Unit cell a=9.6245 b=9.6245 c=9.6245 alpha=22.97 beta=22.97 gamma=22.97
With the nearest neighbours (Å) after each atom.
Fractional positions:
Ca: 0.0000 0.0000 0.0000  2 Te 3.13
Re: 0.5000 0.5000 0.5000  6 Te 2.70
Te: 0.1115 0.1115 0.1115  3 Re 2.70
Te: 0.8885 0.8885 0.8885  3 Re 2.70

Computed properties:
The value obtained for the formation energy (no corrections) is 143 meV per atom.

***

Below is GaSiF3 at its PBEsol-relaxed geometry, with properties calculated at the SCAN level.

Unit cell a=4.2245 b=4.2245 c=4.2245 alpha=90.00 beta=90.00 gamma=90.00
With the nearest neighbours (Å) after each atom.
Fractional positions:
Ga: 0.0000 0.0000 0.0000  12 F 2.99
Si: 0.5000 0.5000 0.5000  6 F 2.11
F: 0.0000 0.5000 0.5000  2 Si 2.11
F: 0.5000 0.0000 0.5000  2 Si 2.11
F: 0.5000 0.5000 0.0000  2 Si 2.11

Computed properties:
The value obtained for the formation energy (no corrections) is -1547 meV per atom.

***

Below is GdGeRh at its PBEsol-relaxed geometry, with properties calculated at the SCAN level.

Unit cell a=6.9562 b=4.3217 c=7.3683 alpha=90.00 beta=90.00 gamma=90.00
With the nearest neighbours (Å) after each atom.
Fractional positions:
Gd: 0.0047 0.2500 0.1914  4 Rh 2.97-3.06, 5 Ge 3.01-3.02
Gd: 0.4953 0.7500 0.6914  4 Rh 2.97-3.06, 5 Ge 3.01-3.02
Gd: 0.5047 0.2500 0.3086  4 Rh 2.97-3.06, 5 Ge 3.01-3.02
Gd: 0.9953 0.7500 0.8086  4 Rh 2.97-3.06, 5 Ge 3.01-3.02
Ge: 0.2065 0.2500 0.6042  4 Rh 2.52-2.59
Ge: 0.2935 0.7500 0.1042  4 Rh 2.52-2.59
Ge: 0.7065 0.2500 0.8958  4 Rh 2.52-2.59
Ge: 0.7935 0.7500 0.3958  4 Rh 2.52-2.59
Rh: 0.1543 0.7500 0.4300  4 Ge 2.52-2.59
Rh: 0.3457 0.2500 0.9300  4 Ge 2.52-2.59
Rh: 0.6543 0.7500 0.0700  4 Ge 2.52-2.59
Rh: 0.8457 0.2500 0.5700  4 Ge 2.52-2.59

Computed properties:
For the energy of formation from the pure elements, the calculation gives -1050.6 meV per atom.